Entry from Alexandria: crystalline Al2HOsF at its relaxed geometry (GGA-PBE).

```
data_Al2HOsF
_chemical_formula_sum 'Al2 H1 Os1 F1'
_symmetry_space_group_name_H-M 'P 4/m m m'
_symmetry_Int_Tables_number 123
_symmetry_space_group_name_Hall '-P 4 2'
_cell_length_a 4.513
_cell_length_b 4.513
_cell_length_c 3.080
_cell_angle_alpha 90.00
_cell_angle_beta 90.00
_cell_angle_gamma 90.00
loop_
_atom_site_label
_atom_site_fract_x
_atom_site_fract_y
_atom_site_fract_z
_atom_site_occupancy
Al1 0.000 0.500 0.000 1
H1 0.000 0.000 0.000 1
Os1 0.000 0.000 0.500 1
F1 0.500 0.500 0.500 1
```

Summary:
calculated density	7.0	Mg/m³
calculated total energy	-4.9631	eV per atom